Compound: PrSmMg
Source: OQMD
Functional: PBE-GGA
Structure: relaxed

Summary:
electronic total energy	-9.91	eV per cell
excess energy over the best structure of this formula in the dataset	0	meV per atom

```
data_PrSmMg
_cell_length_a 5.356
_cell_length_b 5.356
_cell_length_c 5.356
_cell_angle_alpha 60.00
_cell_angle_beta 60.00
_cell_angle_gamma 60.00
_symmetry_space_group_name_H-M 'P 1'
_symmetry_Int_Tables_number 1
_symmetry_space_group_name_Hall 'P 1'
loop_
_atom_site_label
_atom_site_fract_x
_atom_site_fract_y
_atom_site_fract_z
Mg1 0.000 0.000 0.000
Sm1 0.750 0.750 0.750
Pr1 0.250 0.250 0.250
```